The following is a DFT calculation (PBE) of a relaxed TmTlGaSe3 crystal.

CIF file:
```
data_TmTlGaSe3
_symmetry_space_group_name_H-M 'C m c m'
_symmetry_Int_Tables_number 63
_symmetry_space_group_name_Hall '-C 2c 2'
_cell_length_a 4.519
_cell_length_b 14.018
_cell_length_c 10.780
_cell_angle_alpha 90.00
_cell_angle_beta 90.00
_cell_angle_gamma 90.00
loop_
_atom_site_label
_atom_site_fract_x
_atom_site_fract_y
_atom_site_fract_z
Tm1 0.000 0.000 0.000
Tl1 0.000 0.257 0.250
Ga1 0.000 0.481 0.750
Se1 0.000 0.066 0.750
Se2 0.000 0.374 0.562
```

Results
The value obtained for the raw total energy is -4.34 eV per atom. The calculation puts the calculated volume at 682.9 Å³ per cell. The excess energy over the best structure of this formula in the dataset is 0 meV/atom.